*i*
# AlZn3O

A relaxed structure of AlZn3O (PBE-GGA, the Alexandria database).

abc: 4.2499 4.2499 4.2499
angles: 90.00 90.00 90.00
Fractional coordinates of all 5 atoms:
Al 0.0000 0.0000 0.0000
Zn 0.0000 0.5000 0.5000
Zn 0.5000 0.0000 0.5000
Zn 0.5000 0.5000 0.0000
O 0.5000 0.5000 0.5000

Calculated values
* total moment: 0.0 μB/f.u.
* crystal system: cubic
* symmetry: Pm-3m, No. 221

---

*ii*
# AlZn3O

A relaxed structure of AlZn3O (PBE-GGA, the Alexandria database).

abc: 4.7909 4.7909 4.7909
angles: 90.00 90.00 90.00
Fractional coordinates of all 5 atoms:
Al 0.0000 0.0000 0.0000
Zn 0.0000 0.0000 0.5000
Zn 0.0000 0.5000 0.0000
Zn 0.5000 0.0000 0.0000
O 0.5000 0.5000 0.5000

Calculated values
* total moment: 0.0 μB/f.u.
* crystal system: cubic
* symmetry: Pm-3m, No. 221

---

Which structure is most stable? *i*, by 77.0 kJ/mol of atoms over the runner-up.

---

*i*
# ZrAl3O

A relaxed structure of ZrAl3O (PBE-GGA, the Alexandria database).

abc: 5.3384 5.3384 5.3384
angles: 90.00 90.00 90.00
Fractional coordinates of all 5 atoms:
Zr 0.0000 0.0000 0.0000
Al 0.0000 0.0000 0.5000
Al 0.0000 0.5000 0.0000
Al 0.5000 0.0000 0.0000
O 0.5000 0.5000 0.5000

Calculated values
* total moment: 0.0 μB/f.u.
* crystal system: cubic
* symmetry: Pm-3m, No. 221

---

*ii*
# ZrAl3O

A relaxed structure of ZrAl3O (PBE-GGA, the Alexandria database).

abc: 4.2201 4.2201 4.2201
angles: 90.00 90.00 90.00
Fractional coordinates of all 5 atoms:
Zr 0.0000 0.0000 0.0000
Al 0.0000 0.5000 0.5000
Al 0.5000 0.0000 0.5000
Al 0.5000 0.5000 0.0000
O 0.5000 0.5000 0.5000

Calculated values
* total moment: 0.0 μB/f.u.
* crystal system: cubic
* symmetry: Pm-3m, No. 221

---

Which structure is most stable? *ii*, by 209.5 kJ/mol of atoms over the runner-up.

---

*i*
# AlOs4

A relaxed structure of AlOs4 (PBE-GGA, the Alexandria database).

abc: 4.7218 4.7218 4.7218
angles: 99.58 99.58 131.85
Fractional coordinates of all 5 atoms:
Al 0.0000 0.0000 0.0000
Os 0.1957 0.3986 0.5942
Os 0.3986 0.8043 0.2029
Os 0.6014 0.1957 0.7971
Os 0.8043 0.6014 0.4058

Calculated values
* total moment: 0.0 μB/f.u.
* crystal system: tetragonal
* symmetry: I4/m, No. 87

---

*ii*
# AlOs4

A relaxed structure of AlOs4 (PBE-GGA, the Alexandria database).

abc: 4.7808 4.7808 4.7808
angles: 109.47 109.47 109.47
Fractional coordinates of all 5 atoms:
Al 0.0000 0.0000 0.0000
Os 0.0000 0.0000 0.5000
Os 0.0000 0.5000 0.0000
Os 0.5000 0.0000 0.0000
Os 0.5000 0.5000 0.5000

Calculated values
* total moment: 0.0 μB/f.u.
* crystal system: cubic
* symmetry: Im-3m, No. 229

---

*iii*
# AlOs4

A relaxed structure of AlOs4 (PBE-GGA, the Alexandria database).

abc: 4.3292 4.3292 4.3292
angles: 90.00 90.00 90.00
Fractional coordinates of all 5 atoms:
Al 0.0000 0.0000 0.0000
Os 0.0000 0.0000 0.5000
Os 0.0000 0.5000 0.0000
Os 0.5000 0.0000 0.0000
Os 0.5000 0.5000 0.5000

Calculated values
* total moment: 0.0 μB/f.u.
* crystal system: cubic
* symmetry: Pm-3m, No. 221

---

Which structure is most stable? *i*, by 136.5 kJ/mol of atoms over the runner-up.

---

*i*
# AlOs5

A relaxed structure of AlOs5 (PBE-GGA, the Alexandria database).

abc: 2.7584 2.7584 11.2481
angles: 90.00 90.00 90.00
Fractional coordinates of all 6 atoms:
Al 0.0000 0.0000 0.0000
Os 0.0000 0.0000 0.3276
Os 0.0000 0.0000 0.6724
Os 0.5000 0.5000 0.1651
Os 0.5000 0.5000 0.5000
Os 0.5000 0.5000 0.8349

Calculated values
* total moment: 0.0 μB/f.u.
* crystal system: tetragonal
* symmetry: P4/mmm, No. 123

---

*ii*
# AlOs5

A relaxed structure of AlOs5 (PBE-GGA, the Alexandria database).

abc: 4.7485 4.7485 4.3898
angles: 90.00 90.00 120.00
Fractional coordinates of all 6 atoms:
Al 0.0000 0.0000 0.0000
Os 0.0000 0.6677 0.5000
Os 0.3323 0.3323 0.5000
Os 0.3333 0.6667 0.0000
Os 0.6667 0.3333 0.0000
Os 0.6677 0.0000 0.5000

Calculated values
* total moment: 0.0 μB/f.u.
* crystal system: hexagonal
* symmetry: P-62m, No. 189

---

Which structure is most stable? *i*, by 5.3 kJ/mol of atoms over the runner-up.

---

*i*
# AlOs5

A relaxed structure of AlOs5 (PBE-GGA, the Alexandria database).

abc: 6.1629 6.1629 3.8526
angles: 90.00 90.00 143.72
Fractional coordinates of all 6 atoms:
Al 0.0000 0.0000 0.0000
Os 0.1694 0.8306 0.5000
Os 0.3258 0.6742 0.0000
Os 0.5000 0.5000 0.5000
Os 0.6742 0.3258 0.0000
Os 0.8306 0.1694 0.5000

Calculated values
* total moment: 0.0 μB/f.u.
* crystal system: orthorhombic
* symmetry: Cmmm, No. 65

---

*ii*
# AlOs5

A relaxed structure of AlOs5 (PBE-GGA, the Alexandria database).

abc: 4.3510 7.2272 7.2272
angles: 22.17 90.00 90.00
Fractional coordinates of all 6 atoms:
Al 0.0000 0.0000 0.0000
Os 0.0000 0.3283 0.3283
Os 0.0000 0.6659 0.6659
Os 0.5000 0.2172 0.2172
Os 0.5000 0.5512 0.5512
Os 0.5000 0.8866 0.8866

Calculated values
* total moment: 0.0 μB/f.u.
* crystal system: orthorhombic
* symmetry: Amm2, No. 38

---

Which structure is most stable? *ii*, by 8.0 kJ/mol of atoms over the runner-up.

---

*i*
# AlOs5

A relaxed structure of AlOs5 (PBE-GGA, the Alexandria database).

abc: 5.0996 5.0996 5.0996
angles: 60.00 60.00 60.00
Fractional coordinates of all 6 atoms:
Al 0.0000 0.0000 0.0000
Os 0.3750 0.3750 0.3750
Os 0.3750 0.3750 0.8749
Os 0.3750 0.8749 0.3750
Os 0.7500 0.7500 0.7500
Os 0.8749 0.3750 0.3750

Calculated values
* total moment: 0.0 μB/f.u.
* crystal system: cubic
* symmetry: F-43m, No. 216

---

*ii*
# AlOs5

A relaxed structure of AlOs5 (PBE-GGA, the Alexandria database).

abc: 5.1652 5.1652 6.4424
angles: 103.95 103.95 31.15
Fractional coordinates of all 6 atoms:
Al 0.0000 0.0000 0.0000
Os 0.0479 0.0479 0.6047
Os 0.3206 0.3206 0.6511
Os 0.3760 0.3760 0.2749
Os 0.6589 0.6589 0.3271
Os 0.7231 0.7231 0.9305

Calculated values
* total moment: 0.0 μB/f.u.
* crystal system: monoclinic
* symmetry: Cm, No. 8

---

*iii*
# AlOs5

A relaxed structure of AlOs5 (PBE-GGA, the Alexandria database).

abc: 4.9684 4.9684 4.6441
angles: 90.00 90.00 120.00
Fractional coordinates of all 6 atoms:
Al 0.0000 0.0000 0.0000
Os 0.0000 0.5000 0.5000
Os 0.3333 0.6667 0.0000
Os 0.5000 0.0000 0.5000
Os 0.5000 0.5000 0.5000
Os 0.6667 0.3333 0.0000

Calculated values
* total moment: 0.0 μB/f.u.
* crystal system: hexagonal
* symmetry: P6/mmm, No. 191

---

Which structure is most stable? *ii*, by 77.1 kJ/mol of atoms over the runner-up.